MnAsN2O: optimized geometry, PBE+U.

Results
**Space group**: P4/mmm (123)
**Total DFT energy (no corrections)**: -31.2 eV/cell
**Fermi-level density of states**: 0.522 states/eV per atom
**V**: 10.78 A^3/atom

Unit cell a=3.7583 b=3.7583 c=3.8173 alpha=90.00 beta=90.00 gamma=90.00
Site moments in Bohr magnetons follow the coordinates.
Fractional positions:
1 O 0.0000 0.0000 0.5000  -0.04
2 N 0.5000 0.0000 0.0000  -0.17
3 As 0.0000 0.0000 0.0000  0.01
4 N 0.0000 0.5000 0.0000  -0.17
5 Mn 0.5000 0.5000 0.5000  4.63